Density functional theory data (PBE) for an optimized crystal structure of CaMg4Pt2.

Properties
SG: P4_2/mnm, No. 136
Formation energy from the elements in meV per atom: -660
V in Å³ per cell: 292.4

```
CaMg4Pt2
1.0
4.464 0.000 0.000
0.000 8.094 0.000
0.000 0.000 8.094
Ca Mg Pt
2 8 4
Cartesian
2.232 0.000 0.000
0.000 4.047 4.047
0.000 0.707 2.711
0.000 7.387 5.383
2.232 1.336 4.754
2.232 6.758 3.340
2.232 3.340 6.758
2.232 4.754 1.336
0.000 2.711 0.707
0.000 5.383 7.387
0.000 1.884 6.210
0.000 6.210 1.884
2.232 5.931 5.931
2.232 2.163 2.163
```